No. 1
The following is a DFT calculation (PBE) of a geometry-optimized Sb2TeMoPt structure.

Lattice parameters (Å, degrees): 5.1819 5.1819 5.1061 90.00 90.00 90.00
Last column: nearest neighbours and their distance in Å.
Fractional positions:
Sb 0.0000 0.5000 0.0000  2 Mo 2.59
Sb 0.5000 0.0000 0.0000  2 Mo 2.59
Te 0.0000 0.0000 0.5000  2 Mo 2.55
Mo 0.0000 0.0000 0.0000  2 Te 2.55, 4 Sb 2.59
Pt 0.5000 0.5000 0.5000  8 Sb 3.64, 4 Te 3.66

crystal system	tetragonal
energy relative to the elements, uncorrected	790	meV per atom
DOS(E_F)	3.899	states/eV/f.u.
energy above the lowest structure with this stoichiometry	0	meV/atom

---

No. 2
The following is a DFT calculation (PBE) of a geometry-optimized ScMoPt2 structure.

Lattice parameters (Å, degrees): 4.0272 4.0272 4.0247 90.00 90.00 90.00
Last column: nearest neighbours and their distance in Å.
Fractional positions:
Sc 0.0000 0.0000 0.0000  8 Pt 2.85, 4 Mo 2.85
Mo 0.5000 0.5000 0.0000  8 Pt 2.85, 4 Sc 2.85
Pt 0.0000 0.5000 0.5000  4 Mo 2.85, 4 Sc 2.85, 4 Pt 2.85
Pt 0.5000 0.0000 0.5000  4 Mo 2.85, 4 Sc 2.85, 4 Pt 2.85

crystal system	tetragonal
formation enthalpy at 0 K	-0.553	eV per atom
DOS(E_F)	4.371	states/eV/f.u.

---

No. 3
The following is a DFT calculation (PBE) of a geometry-optimized ScMoPt structure.

Lattice parameters (Å, degrees): 4.6228 4.6228 2.8168 90.00 90.00 120.00
Last column: nearest neighbours and their distance in Å.
Fractional positions:
Sc 0.0000 0.0000 0.0000  2 Sc 2.82, 6 Pt 3.02, 6 Mo 3.02
Mo 0.6667 0.3333 0.5000  3 Pt 2.67, 2 Mo 2.82
Pt 0.3333 0.6667 0.5000  3 Mo 2.67, 2 Pt 2.82

crystal system	hexagonal
formation enthalpy at 0 K	-0.239	eV per atom
DOS(E_F)	3.560	states/eV/f.u.
energy above the lowest structure with this stoichiometry	144	meV/atom

---

No. 4
The following is a DFT calculation (PBE) of a geometry-optimized Sc4MoPt structure.

Lattice parameters (Å, degrees): 5.4742 5.4742 5.4742 60.00 60.00 60.00
Last column: nearest neighbours and their distance in Å.
Fractional positions:
Sc 0.1249 0.1249 0.1249  6 Sc 2.74
Sc 0.1249 0.1249 0.6252  6 Sc 2.74
Sc 0.1249 0.6252 0.1249  6 Sc 2.74
Sc 0.6252 0.1249 0.1249  6 Sc 2.74
Mo 0.7500 0.7500 0.7500  12 Sc 3.21, 4 Pt 3.35
Pt 0.5000 0.5000 0.5000  12 Sc 3.21, 4 Mo 3.35

crystal system	cubic
formation enthalpy at 0 K	0.350	eV per atom
DOS(E_F)	7.045	states/eV/f.u.

---

No. 5
The following is a DFT calculation (PBE) of a geometry-optimized ScMoPt2 structure.

Lattice parameters (Å, degrees): 2.8505 2.8505 8.2345 90.00 90.00 90.00
Last column: nearest neighbours and their distance in Å.
Fractional positions:
Sc 0.0000 0.0000 0.0000  4 Pt 2.84, 4 Sc 2.85, 4 Mo 3.02
Mo 0.5000 0.5000 0.2736  4 Pt 2.75, 4 Mo 2.85, 4 Sc 3.02
Pt 0.0000 0.0000 0.5007  4 Mo 2.75, 8 Pt 2.85-2.92
Pt 0.5000 0.5000 0.7573  4 Sc 2.84, 8 Pt 2.85-2.92

crystal system	tetragonal
formation enthalpy at 0 K	-0.387	eV per atom
DOS(E_F)	3.817	states/eV/f.u.

---

No. 6
The following is a DFT calculation (PBE) of a geometry-optimized ScMoPt2 structure.

Lattice parameters (Å, degrees): 4.9204 4.9204 5.0070 97.82 97.82 33.66
Last column: nearest neighbours and their distance in Å.
Fractional positions:
Sc 0.0000 0.0000 0.0000  7 Pt 2.71-2.90, 2 Sc 2.85, 1 Mo 2.98
Mo 0.2379 0.2379 0.6675  7 Pt 2.67-2.96, 2 Mo 2.85, 1 Sc 2.98
Pt 0.4957 0.4957 0.5037  3 Mo 2.67-2.72, 2 Pt 2.85, 4 Sc 2.86-2.90
Pt 0.7444 0.7444 0.1881  3 Sc 2.71-2.76, 4 Mo 2.80-2.96, 5 Pt 2.85-3.01

crystal system	monoclinic
formation enthalpy at 0 K	-0.565	eV per atom
DOS(E_F)	3.621	states/eV/f.u.

---

No. 7
The following is a DFT calculation (PBE) of a geometry-optimized ScMoPt2 structure.

Lattice parameters (Å, degrees): 4.9157 4.9157 2.8529 90.00 90.00 109.40
Last column: nearest neighbours and their distance in Å.
Fractional positions:
Sc 0.0000 0.0000 0.0000  2 Mo 2.84, 8 Pt 2.84, 2 Sc 2.85
Mo 0.5000 0.5000 0.0000  2 Sc 2.84, 8 Pt 2.84, 2 Mo 2.85
Pt 0.0000 0.5000 0.5000  4 Pt 2.84-2.85, 4 Mo 2.84, 4 Sc 2.84
Pt 0.5000 0.0000 0.5000  4 Pt 2.84-2.85, 4 Mo 2.84, 4 Sc 2.84

crystal system	orthorhombic
formation enthalpy at 0 K	-0.639	eV per atom
DOS(E_F)	3.273	states/eV/f.u.

---

No. 8
The following is a DFT calculation (PBE) of a geometry-optimized ScMoPt2 structure.

Lattice parameters (Å, degrees): 4.9996 4.9996 4.9996 132.97 132.97 68.71
Last column: nearest neighbours and their distance in Å.
Fractional positions:
Sc 0.0000 0.0000 0.0000  8 Pt 2.82-2.87, 4 Mo 2.87
Mo 0.2500 0.7500 0.5000  8 Pt 2.82-2.87, 4 Sc 2.87
Pt 0.5000 0.5000 0.0000  4 Sc 2.82, 4 Mo 2.87, 4 Pt 2.87
Pt 0.7500 0.2500 0.5000  4 Mo 2.82, 4 Pt 2.87, 4 Sc 2.87

crystal system	tetragonal
formation enthalpy at 0 K	-0.496	eV per atom
DOS(E_F)	3.699	states/eV/f.u.

---

No. 9
The following is a DFT calculation (PBE) of a geometry-optimized ScMoPt structure.

Lattice parameters (Å, degrees): 4.4070 4.4070 4.4070 60.00 60.00 60.00
Last column: nearest neighbours and their distance in Å.
Fractional positions:
Sc 0.0000 0.0000 0.0000  4 Pt 2.70
Mo 0.5000 0.5000 0.5000  4 Pt 2.70
Pt 0.7500 0.7500 0.7500  4 Sc 2.70, 4 Mo 2.70

crystal system	cubic
formation enthalpy at 0 K	-0.042	eV per atom
DOS(E_F)	4.423	states/eV/f.u.
energy above the lowest structure with this stoichiometry	342	meV/atom

---

No. 10
The following is a DFT calculation (PBE) of a geometry-optimized ScMoPt2 structure.

Lattice parameters (Å, degrees): 9.4691 9.4691 9.4691 155.54 155.54 34.86
Last column: nearest neighbours and their distance in Å.
Fractional positions:
Sc 0.0000 0.0000 0.0000  4 Pt 2.68, 4 Mo 2.84
Sc 0.7500 0.2500 0.5000  4 Pt 2.68, 4 Mo 2.84
Mo 0.2500 0.7500 0.5000  4 Pt 2.66, 4 Sc 2.84
Mo 0.5000 0.5000 0.0000  4 Pt 2.66, 4 Sc 2.84
Pt 0.1310 0.6250 0.0060  2 Mo 2.66, 2 Sc 2.68, 4 Pt 2.80-2.87
Pt 0.3750 0.3810 0.5060  2 Mo 2.66, 2 Sc 2.68, 4 Pt 2.80-2.87
Pt 0.6190 0.1250 0.9940  2 Mo 2.66, 2 Sc 2.68, 4 Pt 2.80-2.87
Pt 0.8750 0.8690 0.4940  2 Mo 2.66, 2 Sc 2.68, 4 Pt 2.80-2.87

crystal system	tetragonal
formation enthalpy at 0 K	-0.036	eV per atom
DOS(E_F)	5.835	states/eV/f.u.

---

No. 11
The following is a DFT calculation (PBE) of a geometry-optimized ScMoPt structure.

Lattice parameters (Å, degrees): 6.5694 6.5694 6.5694 154.79 154.79 35.96
Last column: nearest neighbours and their distance in Å.
Fractional positions:
Sc 0.0000 0.0000 0.0000  4 Sc 2.87, 4 Pt 2.91, 4 Mo 3.03
Mo 0.6807 0.6807 0.0000  4 Pt 2.78, 4 Mo 2.87, 4 Sc 3.03
Pt 0.3325 0.3325 0.0000  4 Mo 2.78, 4 Pt 2.87, 4 Sc 2.91

crystal system	tetragonal
formation enthalpy at 0 K	-0.384	eV per atom
DOS(E_F)	1.577	states/eV/f.u.
energy above the lowest structure with this stoichiometry	0	meV/atom

---

No. 12
The following is a DFT calculation (PBE) of a geometry-optimized ScMoPt2 structure.

Lattice parameters (Å, degrees): 2.8472 4.0459 5.6671 90.00 90.32 90.00
Last column: nearest neighbours and their distance in Å.
Fractional positions:
Sc 0.0000 0.0000 0.0000  2 Mo 2.83, 2 Sc 2.85, 8 Pt 2.87-2.88
Mo 0.0000 0.0000 0.5000  8 Pt 2.82-2.83, 2 Sc 2.83, 2 Mo 2.85
Pt 0.5003 0.5000 0.2584  4 Pt 2.74-2.93, 4 Mo 2.82-2.83, 4 Sc 2.87-2.88
Pt 0.4997 0.5000 0.7416  4 Pt 2.74-2.93, 4 Mo 2.82-2.83, 4 Sc 2.87-2.88

crystal system	monoclinic
formation enthalpy at 0 K	-0.617	eV per atom
DOS(E_F)	3.168	states/eV/f.u.